VASP calculation (PBE-GGA) on GdNb6Pb4 after structural relaxation.

abc: 8.530 8.530 8.530
angles: 40.61 40.61 40.61
Fractional coordinates of all 11 atoms:
Gd (0.000, 0.000, 0.000)
Nb (0.597, 0.597, 0.126)
Nb (0.597, 0.126, 0.597)
Nb (0.126, 0.597, 0.597)
Nb (0.403, 0.403, 0.874)
Nb (0.874, 0.403, 0.403)
Nb (0.403, 0.874, 0.403)
Pb (0.331, 0.331, 0.331)
Pb (0.669, 0.669, 0.669)
Pb (0.128, 0.128, 0.128)
Pb (0.873, 0.873, 0.873)

Output
VASP energy	-7.276	eV/atom
SG	R-3m